20
Lattice="5.0975 0.0000 0.0000 0.0000 5.0975 0.0000 0.0000 0.0000 25.3169" Properties=species:S:1:pos:R:3 comment="La4Y15Sc, optimized geometry, DFT PBE-GGA" ef_kj_per_mol_atoms=4 pbc="T T T"
La 0.0000 0.0000 2.5718
La 0.0000 0.0000 7.6606
La 0.0000 0.0000 17.6563
La 0.0000 0.0000 22.7450
Y 0.0000 2.5487 0.0000
Y 0.0000 2.5487 5.1376
Y 0.0000 2.5487 10.2791
Y 0.0000 2.5487 15.0377
Y 0.0000 2.5487 20.1792
Y 2.5487 0.0000 0.0000
Y 2.5487 0.0000 5.1376
Y 2.5487 0.0000 10.2791
Y 2.5487 0.0000 15.0377
Y 2.5487 0.0000 20.1792
Y 2.5487 2.5487 2.5628
Y 2.5487 2.5487 7.7086
Y 2.5487 2.5487 12.6584
Y 2.5487 2.5487 17.6082
Y 2.5487 2.5487 22.7541
Sc 0.0000 0.0000 12.6584



4
Lattice="1.8768 1.0836 6.0897 -1.8768 1.0836 6.0897 0.0000 -2.1672 6.0897" Properties=species:S:1:pos:R:3 comment="Hf2AsS, optimized geometry, DFT PBE-GGA" e_above_lowest_polymorph_mev_per_atom=23 e_form_raw_ev_per_atom=-1.056 pbc="T T T"
Hf 0.0000 0.0000 4.3666
Hf 0.0000 0.0000 13.9026
As 0.0000 0.0000 0.0000
S 0.0000 0.0000 9.1346



15
Lattice="6.1440 -3.8575 0.0000 6.1440 3.8575 0.0000 -4.1610 0.0000 6.7077" Properties=species:S:1:pos:R:3 comment="Na3Sc3BS8, optimized geometry, DFT PBE-GGA" e_form_raw_ev_per_atom=-1.205 pbc="T T T"
Na 0.0000 0.0000 0.0000
Na 3.0720 1.9288 0.0000
Na 3.0720 -1.9288 0.0000
Sc 0.9915 1.9288 3.3538
Sc 0.9915 -1.9288 3.3538
Sc 4.0635 0.0000 3.3538
B -2.0805 0.0000 3.3538
S -0.6662 0.0000 4.4244
S 1.9649 0.0000 1.8978
S 2.8852 1.6701 4.9319
S 5.2419 1.6701 1.7758
S 2.8852 -1.6701 4.9319
S 5.2419 -1.6701 1.7758
S 6.1621 0.0000 4.8099
S 8.7932 0.0000 2.2833